<w>
An optimized crystal structure of HoH6Rh2, computed with PBE-GGA.

a b c (Å): 3.975 3.975 5.761
angles (deg): 109.28 109.28 90.04
Atoms (fractional coordinates):
1 Ho 0.000 0.000 0.000
2 H 0.107 0.586 0.175
3 H 0.238 0.238 0.501
4 H 0.414 0.893 0.825
5 H 0.586 0.107 0.175
6 H 0.762 0.762 0.499
7 H 0.893 0.414 0.825
8 Rh 0.253 0.747 0.500
9 Rh 0.747 0.253 0.500

Summary:
DOS(E_F) = 0.138 states/eV/atom



<x>
An optimized crystal structure of HoH6Rh2, computed with PBE-GGA.

a b c (Å): 4.471 4.471 6.194
angles (deg): 114.53 114.53 48.09
Atoms (fractional coordinates):
1 Ho 0.000 0.000 0.000
2 H 0.003 0.003 0.352
3 H 0.292 0.292 0.372
4 H 0.317 0.317 0.942
5 H 0.683 0.683 0.058
6 H 0.708 0.708 0.628
7 H 0.997 0.997 0.648
8 Rh 0.202 0.202 0.638
9 Rh 0.798 0.798 0.362

Summary:
DOS(E_F) = 0.237 states/eV/atom



Tell me which of them is the most stable. Sure, it is <w>.



<w>
An optimized crystal structure of Ho2HRu, computed with PBE-GGA.

a b c (Å): 3.260 3.260 7.011
angles (deg): 90.00 90.00 90.00
Atoms (fractional coordinates):
1 Ho 0.000 0.000 0.243
2 Ho 0.000 0.000 0.757
3 H 0.500 0.500 0.500
4 Ru 0.500 0.500 0.000

Summary:
DOS(E_F) = 0.532 states/eV/atom



<x>
An optimized crystal structure of Ho2HRu, computed with PBE-GGA.

a b c (Å): 7.045 7.045 7.045
angles (deg): 29.14 29.14 29.14
Atoms (fractional coordinates):
1 Ho 0.240 0.240 0.240
2 Ho 0.760 0.760 0.760
3 H 0.500 0.500 0.500
4 Ru 0.000 0.000 0.000

Summary:
DOS(E_F) = 0.758 states/eV/atom



Tell me which of them is the most stable. Sure, it is <x>.